1.
NpZn2In | PBE | relaxed

Computed properties:
**D(E_F)**: 7.95 states/eV per cell
**Space group**: Fm-3m, No. 225
**E_form**: 0.07 eV per atom
**Total moment**: 4.3 μB per cell

```
NpZn2In
1.0
0.0000 3.4451 3.4451
3.4451 0.0000 3.4451
3.4451 3.4451 0.0000
Np Zn In
1 2 1
Direct
0.0000 0.0000 0.0000
0.2500 0.2500 0.2500
0.7500 0.7500 0.7500
0.5000 0.5000 0.5000
```

2.
NpZn2In | PBE | relaxed

Computed properties:
**D(E_F)**: 6.20 states/eV per cell
**Space group**: P4/mmm, No. 123
**E_form**: 0.16 eV per atom
**Total moment**: 4.6 μB per cell

```
NpZn2In
1.0
3.1153 0.0000 0.0000
0.0000 3.1153 0.0000
0.0000 0.0000 8.5397
Np Zn In
1 2 1
Direct
0.0000 0.0000 0.0000
0.5000 0.5000 0.2574
0.5000 0.5000 0.7426
0.0000 0.0000 0.5000
```

3.
NpZn2In | PBE | relaxed

Computed properties:
**D(E_F)**: 7.03 states/eV per cell
**Space group**: P4/mmm, No. 123
**E_form**: 0.22 eV per atom
**Total moment**: 4.4 μB per cell

```
NpZn2In
1.0
5.3937 0.0000 0.0000
0.0000 5.3937 0.0000
0.0000 0.0000 2.8657
Np Zn In
1 2 1
Direct
0.0000 0.0000 0.0000
0.0000 0.5000 0.5000
0.5000 0.0000 0.5000
0.5000 0.5000 0.0000
```

4.
InO2 | PBE | relaxed

Computed properties:
**Space group**: P1, No. 1
**Formation energy (no corrections)**: -1.0244 eV per atom
**Total moment**: 0.0 μB per cell

```
InO2
1.0
3.2510 0.0000 0.0000
-1.2220 3.5125 0.0000
-0.7856 -0.3172 6.4302
In O
2 4
Direct
0.0000 0.0000 0.0000
0.3795 0.4749 0.5711
0.0613 0.8741 0.6559
0.5262 0.9302 0.2468
0.6269 0.4011 0.9201
0.7436 0.3182 0.3482
```

5.
In3O4 | PBE | relaxed

Computed properties:
**D(E_F)**: 0.85 states/eV per cell
**Space group**: Fd-3m, No. 227
**Formation energy (no corrections)**: -1.4353 eV per atom
**Total moment**: 0.0 μB per cell

```
In3O4
1.0
0.0000 4.6961 4.6961
4.6961 0.0000 4.6961
4.6961 4.6961 0.0000
In O
6 8
Direct
0.0000 0.0000 0.0000
0.0000 0.0000 0.5000
0.0000 0.5000 0.0000
0.3750 0.3750 0.3750
0.5000 0.0000 0.0000
0.6250 0.6250 0.6250
0.2156 0.7615 0.7615
0.2385 0.2385 0.2385
0.2385 0.2385 0.7844
0.2385 0.7844 0.2385
0.7615 0.2156 0.7615
0.7615 0.7615 0.2156
0.7615 0.7615 0.7615
0.7844 0.2385 0.2385
```

6.
InO2 | PBE | relaxed

Computed properties:
**D(E_F)**: 0.00 states/eV per cell
**Space group**: Pnnm, No. 58
**Formation energy (no corrections)**: -0.9709 eV per atom
**Total moment**: 2.0 μB per cell

```
InO2
1.0
4.3669 0.0000 0.0000
0.0000 5.2543 0.0000
0.0000 0.0000 3.3967
In O
2 4
Direct
0.0000 0.0000 0.0000
0.5000 0.5000 0.5000
0.2137 0.3759 0.0000
0.2863 0.8759 0.5000
0.7137 0.1241 0.5000
0.7863 0.6241 0.0000
```

7.
InO2 | PBE | relaxed

Computed properties:
**Space group**: P1, No. 1
**Formation energy (no corrections)**: -1.0762 eV per atom
**Total moment**: 0.0 μB per cell

```
InO2
1.0
3.5005 0.0000 0.0000
-0.0147 3.8784 0.0000
-1.2341 -0.9380 6.0047
In O
2 4
Direct
0.0000 0.0000 0.0000
0.3256 0.6787 0.4780
0.1795 0.1532 0.3458
0.4829 0.3195 0.9351
0.5311 0.6521 0.0963
0.8859 0.7467 0.6699
```

8.
InO2 | PBE | relaxed

Computed properties:
**Space group**: P-1, No. 2
**Formation energy (no corrections)**: -1.0157 eV per atom
**Total moment**: 0.0 μB per cell

```
InO2
1.0
3.2986 0.0000 0.0000
0.0145 4.1836 0.0000
0.0017 1.5364 6.0952
In O
2 4
Direct
0.0000 0.0000 0.0000
0.5000 0.0000 0.5000
0.0009 0.6713 0.4294
0.4985 0.1784 0.1576
0.5015 0.8216 0.8424
0.9991 0.3287 0.5706
```

9.
In2Os2O7 | PBE | relaxed

Computed properties:
**D(E_F)**: 15.02 states/eV per cell
**Space group**: Fd-3m, No. 227
**Formation energy (no corrections)**: -1.1168 eV per atom
**Total moment**: 7.9 μB per cell

```
In2Os2O7
1.0
0.0000 5.0970 5.0970
5.0970 0.0000 5.0970
5.0970 5.0970 0.0000
In Os O
4 4 14
Direct
0.0000 0.0000 0.0000
0.0000 0.0000 0.5000
0.0000 0.5000 0.0000
0.5000 0.0000 0.0000
0.0000 0.5000 0.5000
0.5000 0.0000 0.5000
0.5000 0.5000 0.0000
0.5000 0.5000 0.5000
0.1250 0.1250 0.1250
0.1649 0.1649 0.5851
0.1649 0.5851 0.1649
0.1649 0.5851 0.5851
0.4149 0.4149 0.8351
0.4149 0.8351 0.4149
0.4149 0.8351 0.8351
0.5851 0.1649 0.1649
0.5851 0.1649 0.5851
0.5851 0.5851 0.1649
0.8351 0.4149 0.4149
0.8351 0.4149 0.8351
0.8351 0.8351 0.4149
0.8750 0.8750 0.8750
```

10.
InOs3O | PBE | relaxed

Computed properties:
**D(E_F)**: 3.33 states/eV per cell
**Space group**: Pm-3m, No. 221
**Formation energy (no corrections)**: 0.9141 eV per atom
**Total moment**: 0.0 μB per cell

```
InOs3O
1.0
4.1645 0.0000 0.0000
0.0000 4.1645 0.0000
0.0000 0.0000 4.1645
In Os O
1 3 1
Direct
0.0000 0.0000 0.0000
0.0000 0.5000 0.5000
0.5000 0.0000 0.5000
0.5000 0.5000 0.0000
0.5000 0.5000 0.5000
```

11.
InOsO3 | PBE | relaxed

Computed properties:
**D(E_F)**: 3.84 states/eV per cell
**Space group**: Pm-3m, No. 221
**Formation energy (no corrections)**: -0.7075 eV per atom
**Total moment**: 0.0 μB per cell

```
InOsO3
1.0
3.9415 0.0000 0.0000
0.0000 3.9415 0.0000
0.0000 0.0000 3.9415
In Os O
1 1 3
Direct
0.0000 0.0000 0.0000
0.5000 0.5000 0.5000
0.0000 0.5000 0.5000
0.5000 0.0000 0.5000
0.5000 0.5000 0.0000
```

12.
InOs3O | PBE | relaxed

Computed properties:
**D(E_F)**: 7.43 states/eV per cell
**Space group**: Pm-3m, No. 221
**Formation energy (no corrections)**: 3.5384 eV per atom
**Total moment**: 8.4 μB per cell

```
InOs3O
1.0
4.9702 0.0000 0.0000
0.0000 4.9702 0.0000
0.0000 0.0000 4.9702
In Os O
1 3 1
Direct
0.0000 0.0000 0.0000
0.0000 0.0000 0.5000
0.0000 0.5000 0.0000
0.5000 0.0000 0.0000
0.5000 0.5000 0.5000
```